No. 1
# MgZnCr2

MgZnCr2 at its PBEsol-relaxed geometry (SCAN, the Alexandria database).

a b c (Å): 3.516 3.516 4.232
angles (deg): 90.00 90.00 90.00
Space group P4/mmm (No. 123)
Inequivalent atoms, fractional coordinates:
Mg1 0.000 0.000 0.000
Zn1 0.500 0.500 0.000
Cr1 0.000 0.500 0.500

As for the energy of formation from the pure elements: 1.562 eV per formula unit.

---

No. 2
# MgZn2Cr

MgZn2Cr at its PBEsol-relaxed geometry (SCAN, the Alexandria database).

a b c (Å): 8.865 2.919 4.997
angles (deg): 90.00 101.33 90.00
Space group C2/m (No. 12)
Inequivalent atoms, fractional coordinates:
Mg1 0.000 0.000 0.000
Zn1 0.243 0.000 0.723
Cr1 0.000 0.500 0.500

As for the energy of formation from the pure elements: 0.292 eV per formula unit.

---

No. 3
# MgZn4Cr

MgZn4Cr at its PBEsol-relaxed geometry (SCAN, the Alexandria database).

a b c (Å): 7.095 7.095 7.095
angles (deg): 90.00 90.00 90.00
Space group F-43m (No. 216)
Inequivalent atoms, fractional coordinates:
Mg1 0.000 0.000 0.000
Zn1 0.124 0.124 0.376
Cr1 0.250 0.250 0.750

As for the energy of formation from the pure elements: -1.008 eV per formula unit.

---

No. 4
# Mg2ZrCr

Mg2ZrCr at its PBEsol-relaxed geometry (SCAN, the Alexandria database).

a b c (Å): 6.745 6.745 6.745
angles (deg): 90.00 90.00 90.00
Space group Fm-3m (No. 225)
Inequivalent atoms, fractional coordinates:
Mg1 0.250 0.250 0.250
Zr1 0.000 0.000 0.000
Cr1 0.000 0.000 0.500

As for the energy of formation from the pure elements: 0.727 eV per formula unit.

---

No. 5
# MnCr2

MnCr2 at its PBEsol-relaxed geometry (SCAN, the Alexandria database).

a b c (Å): 3.9275 3.9275 2.4353
angles (deg): 90.00 90.00 120.00
Space group P-3m1 (No. 164)
Inequivalent atoms, fractional coordinates:
Mn1 0.0000 0.0000 0.0000
Cr1 0.3333 0.6667 0.6588

As for the energy of formation from the pure elements: 0.210 eV per formula unit.

---

No. 6
# Mn2Cr

Mn2Cr at its PBEsol-relaxed geometry (SCAN, the Alexandria database).

a b c (Å): 8.697 2.760 5.613
angles (deg): 90.00 109.14 90.00
Space group C2/m (No. 12)
Inequivalent atoms, fractional coordinates:
Mn1 0.008 0.000 0.242
Mn2 0.162 0.500 0.585
Cr1 0.172 0.500 0.083

As for the energy of formation from the pure elements: 0.459 eV per formula unit.

---

No. 7
# Mn4Cr3

Mn4Cr3 at its PBEsol-relaxed geometry (SCAN, the Alexandria database).

a b c (Å): 2.775 2.775 19.445
angles (deg): 90.00 90.00 90.00
Space group I4/mmm (No. 139)
Inequivalent atoms, fractional coordinates:
Mn1 0.000 0.000 0.068
Mn2 0.000 0.000 0.355
Cr1 0.000 0.000 0.213
Cr2 0.000 0.000 0.500

As for the energy of formation from the pure elements: 0.787 eV per formula unit.

---

No. 8
# MnCr8

MnCr8 at its PBEsol-relaxed geometry (SCAN, the Alexandria database).

a b c (Å): 8.414 8.414 2.802
angles (deg): 90.00 90.00 90.00
Space group I4/mmm (No. 139)
Inequivalent atoms, fractional coordinates:
Mn1 0.000 0.000 0.000
Cr1 0.000 0.332 0.000
Cr2 0.167 0.167 0.500

As for the energy of formation from the pure elements: 0.191 eV per formula unit.

---

No. 9
# MnCr5

MnCr5 at its PBEsol-relaxed geometry (SCAN, the Alexandria database).

a b c (Å): 8.859 2.799 5.603
angles (deg): 90.00 108.50 90.00
Space group C2/m (No. 12)
Inequivalent atoms, fractional coordinates:
Mn1 0.000 0.000 0.000
Cr1 0.000 0.000 0.500
Cr2 0.166 0.500 0.333
Cr3 0.169 0.500 0.834

As for the energy of formation from the pure elements: 0.189 eV per formula unit.

---

No. 10
# MnCr3

MnCr3 at its PBEsol-relaxed geometry (SCAN, the Alexandria database).

a b c (Å): 2.431 3.943 4.627
angles (deg): 90.00 100.30 90.00
Space group P2/m (No. 10)
Inequivalent atoms, fractional coordinates:
Mn1 0.000 0.000 0.000
Cr1 0.259 0.500 0.751
Cr2 0.500 0.000 0.500

As for the energy of formation from the pure elements: 0.159 eV per formula unit.

---

No. 11
# MnCr3

MnCr3 at its PBEsol-relaxed geometry (SCAN, the Alexandria database).

a b c (Å): 2.799 3.964 7.891
angles (deg): 90.00 90.00 90.00
Space group Cmmm (No. 65)
Inequivalent atoms, fractional coordinates:
Mn1 0.000 0.000 0.000
Cr1 0.000 0.000 0.500
Cr2 0.000 0.500 0.248

As for the energy of formation from the pure elements: 0.136 eV per formula unit.

---

No. 12
# Mn2Cr

Mn2Cr at its PBEsol-relaxed geometry (SCAN, the Alexandria database).

a b c (Å): 4.804 3.837 6.981
angles (deg): 90.00 90.00 90.00
Space group Pnma (No. 62)
Inequivalent atoms, fractional coordinates:
Mn1 0.023 0.250 0.235
Mn2 0.167 0.250 0.570
Cr1 0.176 0.250 0.911

As for the energy of formation from the pure elements: 0.086 eV per formula unit.

---

No. 13
# Mn2Cr

Mn2Cr at its PBEsol-relaxed geometry (SCAN, the Alexandria database).

a b c (Å): 3.9037 3.9037 2.4160
angles (deg): 90.00 90.00 120.00
Space group P-3m1 (No. 164)
Inequivalent atoms, fractional coordinates:
Mn1 0.3333 0.6667 0.1985
Cr1 0.0000 0.0000 0.5000

As for the energy of formation from the pure elements: 0.271 eV per formula unit.

---

No. 14
# MnCr3

MnCr3 at its PBEsol-relaxed geometry (SCAN, the Alexandria database).

a b c (Å): 7.8885 7.8885 2.4287
angles (deg): 90.00 90.00 120.00
Space group R-3m (No. 166, hexagonal axes)
Inequivalent atoms, fractional coordinates:
Mn1 0.0000 0.0000 0.0000
Cr1 0.0000 0.5000 0.0000

As for the energy of formation from the pure elements: 0.195 eV per formula unit.

---

No. 15
# MnCr3

MnCr3 at its PBEsol-relaxed geometry (SCAN, the Alexandria database).

a b c (Å): 2.794 3.957 7.893
angles (deg): 90.00 90.00 90.00
Space group Immm (No. 71)
Inequivalent atoms, fractional coordinates:
Mn1 0.000 0.000 0.000
Cr1 0.000 0.000 0.500
Cr2 0.000 0.500 0.246

As for the energy of formation from the pure elements: 0.169 eV per formula unit.

---

No. 16
# MnCr2

MnCr2 at its PBEsol-relaxed geometry (SCAN, the Alexandria database).

a b c (Å): 2.793 11.798 3.953
angles (deg): 90.00 90.00 90.00
Space group Cmcm (No. 63)
Inequivalent atoms, fractional coordinates:
Mn1 0.000 0.081 0.250
Cr1 0.000 0.247 0.750
Cr2 0.000 0.415 0.250

As for the energy of formation from the pure elements: 0.182 eV per formula unit.

---

No. 17
# MnCrMo2

MnCrMo2 at its PBEsol-relaxed geometry (SCAN, the Alexandria database).

a b c (Å): 2.982 4.187 8.410
angles (deg): 90.00 90.00 90.00
Space group Imm2 (No. 44)
Inequivalent atoms, fractional coordinates:
Mn1 0.000 0.000 0.000
Cr1 0.000 0.500 0.248
Mo1 0.000 0.000 0.505
Mo2 0.000 0.500 0.752

As for the energy of formation from the pure elements: 0.635 eV per formula unit. The distance to the lowest polymorph of the same formula comes out at 0.000 eV/atom.

---

No. 18
# Mn4CrMo

Mn4CrMo at its PBEsol-relaxed geometry (SCAN, the Alexandria database).

a b c (Å): 6.497 6.497 6.497
angles (deg): 90.00 90.00 90.00
Space group F-43m (No. 216)
Inequivalent atoms, fractional coordinates:
Mn1 0.124 0.124 0.124
Cr1 0.250 0.250 0.750
Mo1 0.000 0.000 0.500

As for the energy of formation from the pure elements: 0.886 eV per formula unit.

---

No. 19
# MnCrMo2

MnCrMo2 at its PBEsol-relaxed geometry (SCAN, the Alexandria database).

a b c (Å): 2.6655 2.6655 26.0474
angles (deg): 90.00 90.00 120.00
Space group R3m (No. 160, hexagonal axes)
Inequivalent atoms, fractional coordinates:
Mn1 0.0000 0.0000 0.0000
Cr1 0.0000 0.0000 0.7341
Mo1 0.0000 0.0000 0.2496
Mo2 0.0000 0.0000 0.4873

As for the energy of formation from the pure elements: 1.838 eV per formula unit. The distance to the lowest polymorph of the same formula comes out at 0.301 eV/atom.

---

No. 20
# Mn2CrMo

Mn2CrMo at its PBEsol-relaxed geometry (SCAN, the Alexandria database).

a b c (Å): 2.939 4.015 4.100
angles (deg): 90.00 90.00 90.00
Space group Pmmm (No. 47)
Inequivalent atoms, fractional coordinates:
Mn1 0.000 0.000 0.000
Mn2 0.500 0.000 0.500
Cr1 0.000 0.500 0.500
Mo1 0.500 0.500 0.000

As for the energy of formation from the pure elements: -0.060 eV per formula unit.